{"formula": "MnCo2N", "functional": "PBE", "state": "relaxed", "raw_formation_energy_ev_per_atom": 0.31, "spacegroup": "I-42d", "lattice": [[-3.1698, 3.1698, 1.9873], [3.1698, -3.1698, 1.9873], [3.1698, 3.1698, -1.9873]], "species": ["Mn", "Mn", "Co", "Co", "Co", "Co", "N", "N"], "fractional_positions": [[0.0000, 0.0000, 0.0000], [0.7500, 0.2500, 0.5000], [0.2387, 0.6250, 0.1137], [0.3750, 0.4887, 0.6137], [0.5113, 0.1250, 0.8863], [0.8750, 0.7613, 0.3863], [0.2500, 0.7500, 0.5000], [0.5000, 0.5000, 0.0000]]}

=====

{"formula": "FeP2Se", "functional": "PBE", "state": "relaxed", "raw_formation_energy_ev_per_atom": -0.07, "spacegroup": "C2/m", "lattice": [[3.4183, -1.3647, 0.0000], [3.4183, 1.3647, 0.0000], [-2.3009, 0.0000, 7.1126]], "species": ["Fe", "P", "P", "Se"], "fractional_positions": [[0.0000, 0.0000, 0.0000], [0.3453, 0.3453, 0.1554], [0.6547, 0.6547, 0.8446], [0.5000, 0.5000, 0.5000]]}

=====

{"formula": "AgB", "functional": "PBE", "state": "relaxed", "e_above_lowest_polymorph_kj_per_mol_fu": 13, "formation_energy_kj_per_mol_fu": 86.2, "spacegroup": "C2/m", "lattice": [[4.1359, -2.1194, 0.0000], [4.1359, 2.1194, 0.0000], [-1.2053, 0.0000, 2.9903]], "species": ["Ag", "Ag", "B", "B"], "fractional_positions": [[0.1810, 0.1810, 0.1847], [0.8190, 0.8190, 0.8153], [0.4990, 0.4990, 0.7507], [0.5010, 0.5010, 0.2493]]}

=====

{"formula": "InOs2Pb", "functional": "PBE", "state": "relaxed", "e_above_lowest_polymorph_kj_per_mol_fu": 81, "formation_energy_kj_per_mol_fu": 272.1, "spacegroup": "Cm", "lattice": [[5.0862, -1.5191, 0.0000], [5.0862, 1.5191, 0.0000], [-2.1720, 0.0000, 4.8923]], "species": ["In", "Os", "Os", "Pb"], "fractional_positions": [[0.0000, 0.0000, 0.0000], [0.4426, 0.4426, 0.4927], [0.7559, 0.7559, 0.1194], [0.2022, 0.2022, 0.6233]]}

=====

{"formula": "TlCu3Te", "functional": "PBE", "state": "relaxed", "e_above_lowest_polymorph_kj_per_mol_fu": 0, "raw_formation_energy_ev_per_atom": 0.55, "spacegroup": "Pm-3m", "lattice": [[4.9857, 0.0000, 0.0000], [0.0000, 4.9857, 0.0000], [0.0000, 0.0000, 4.9857]], "species": ["Tl", "Cu", "Cu", "Cu", "Te"], "fractional_positions": [[0.0000, 0.0000, 0.0000], [0.0000, 0.5000, 0.5000], [0.5000, 0.0000, 0.5000], [0.5000, 0.5000, 0.0000], [0.5000, 0.5000, 0.5000]]}

=====

{"formula": "PuTl2I2Br4", "functional": "PBE", "state": "relaxed", "raw_formation_energy_ev_per_atom": -0.98, "spacegroup": "I4/mmm", "lattice": [[-3.8277, 3.8277, 5.9873], [3.8277, -3.8277, 5.9873], [3.8277, 3.8277, -5.9873]], "species": ["Pu", "Tl", "Tl", "I", "I", "Br", "Br", "Br", "Br"], "fractional_positions": [[0.0000, 0.0000, 0.0000], [0.2500, 0.7500, 0.5000], [0.7500, 0.2500, 0.5000], [0.2531, 0.2531, 0.0000], [0.7469, 0.7469, 0.0000], [0.2519, 0.2519, 0.5039], [0.2519, 0.7481, 0.0000], [0.7481, 0.2519, 0.0000], [0.7481, 0.7481, 0.4961]]}

=====

{"formula": "Er3Si4Os", "functional": "PBE", "state": "relaxed", "raw_formation_energy_ev_per_atom": -0.50, "spacegroup": "Immm", "lattice": [[-2.1142, 2.7837, 7.1997], [2.1142, -2.7837, 7.1997], [2.1142, 2.7837, -7.1997]], "species": ["Er", "Er", "Er", "Si", "Si", "Si", "Si", "Os"], "fractional_positions": [[0.0000, 0.0000, 0.0000], [0.3063, 0.8063, 0.5000], [0.6937, 0.1937, 0.5000], [0.0872, 0.3778, 0.7094], [0.3316, 0.6222, 0.7094], [0.6684, 0.3778, 0.2906], [0.9128, 0.6222, 0.2906], [0.5000, 0.5000, 0.0000]]}

=====

{"formula": "CdPBr", "functional": "PBE", "state": "relaxed", "e_above_lowest_polymorph_kj_per_mol_fu": 161, "raw_formation_energy_ev_per_atom": 0.26, "spacegroup": "P3m1", "lattice": [[3.9088, 0.0000, 0.0000], [-1.9544, 3.3851, 0.0000], [0.0000, 0.0000, 5.5071]], "species": ["Cd", "P", "Br"], "fractional_positions": [[0.0000, 0.0000, 0.0000], [0.3333, 0.6667, 0.2486], [0.6667, 0.3333, 0.6577]]}

=====

{"formula": "Tb2MnGa4Pt3", "functional": "PBE", "state": "relaxed", "formation_energy_kj_per_mol_fu": -788.6, "spacegroup": "P-4m2", "lattice": [[4.0520, 0.0000, 0.0000], [0.0000, 4.0520, 0.0000], [0.0000, 0.0000, 11.2879]], "species": ["Tb", "Tb", "Mn", "Ga", "Ga", "Ga", "Ga", "Pt", "Pt", "Pt"], "fractional_positions": [[0.0000, 0.5000, 0.2453], [0.5000, 0.0000, 0.7547], [0.5000, 0.5000, 0.0000], [0.0000, 0.0000, 0.5000], [0.0000, 0.5000, 0.8639], [0.5000, 0.0000, 0.1361], [0.5000, 0.5000, 0.5000], [0.0000, 0.0000, 0.0000], [0.0000, 0.5000, 0.6423], [0.5000, 0.0000, 0.3577]]}

=====

{"formula": "NdPuSbTe", "functional": "PBE", "state": "relaxed", "e_above_lowest_polymorph_kj_per_mol_fu": 77, "raw_formation_energy_ev_per_atom": -0.92, "spacegroup": "F-43m", "lattice": [[0.0000, 3.8533, 3.8533], [3.8533, 0.0000, 3.8533], [3.8533, 3.8533, 0.0000]], "species": ["Nd", "Pu", "Sb", "Te"], "fractional_positions": [[0.0000, 0.0000, 0.0000], [0.5000, 0.5000, 0.5000], [0.7500, 0.7500, 0.7500], [0.2500, 0.2500, 0.2500]]}

=====

{"formula": "Al2Co2Ag", "functional": "PBE", "state": "relaxed", "e_above_lowest_polymorph_kj_per_mol_fu": 3, "formation_energy_kj_per_mol_fu": -99.5, "spacegroup": "P4/mbm", "lattice": [[6.9761, 0.0000, 0.0000], [0.0000, 6.9761, 0.0000], [0.0000, 0.0000, 2.7555]], "species": ["Al", "Al", "Al", "Al", "Co", "Co", "Co", "Co", "Ag", "Ag"], "fractional_positions": [[0.1668, 0.3332, 0.0000], [0.3332, 0.8332, 0.0000], [0.6668, 0.1668, 0.0000], [0.8332, 0.6668, 0.0000], [0.1275, 0.6275, 0.5000], [0.3725, 0.1275, 0.5000], [0.6275, 0.8725, 0.5000], [0.8725, 0.3725, 0.5000], [0.0000, 0.0000, 0.5000], [0.5000, 0.5000, 0.5000]]}

=====

{"formula": "TlCoSb2I", "functional": "PBE", "state": "relaxed", "e_above_lowest_polymorph_kj_per_mol_fu": 0, "raw_formation_energy_ev_per_atom": 0.20, "spacegroup": "P4/mmm", "lattice": [[4.8763, 0.0000, 0.0000], [0.0000, 4.8763, 0.0000], [0.0000, 0.0000, 6.5245]], "species": ["Tl", "Co", "Sb", "Sb", "I"], "fractional_positions": [[0.0000, 0.0000, 0.0000], [0.5000, 0.5000, 0.5000], [0.0000, 0.5000, 0.5000], [0.5000, 0.0000, 0.5000], [0.5000, 0.5000, 0.0000]]}

=====

{"formula": "Ba3Ag4Pb4", "functional": "PBE", "state": "relaxed", "e_above_lowest_polymorph_kj_per_mol_fu": 11, "formation_energy_kj_per_mol_fu": -313.7, "spacegroup": "Immm", "lattice": [[-2.5742, 3.9286, 8.4469], [2.5742, -3.9286, 8.4469], [2.5742, 3.9286, -8.4469]], "species": ["Ba", "Ba", "Ba", "Ag", "Ag", "Ag", "Ag", "Pb", "Pb", "Pb", "Pb"], "fractional_positions": [[0.0000, 0.0000, 0.0000], [0.3649, 0.8649, 0.5000], [0.6351, 0.1351, 0.5000], [0.0179, 0.3340, 0.6839], [0.3499, 0.6660, 0.6839], [0.6501, 0.3340, 0.3161], [0.9821, 0.6660, 0.3161], [0.2177, 0.2177, 0.0000], [0.3102, 0.5000, 0.8102], [0.6898, 0.5000, 0.1898], [0.7823, 0.7823, 0.0000]]}

=====

{"formula": "KTaIn", "functional": "PBE", "state": "relaxed", "e_above_lowest_polymorph_kj_per_mol_fu": 422, "formation_energy_kj_per_mol_fu": 620.3, "spacegroup": "F-43m", "lattice": [[0.0000, 3.7512, 3.7512], [3.7512, 0.0000, 3.7512], [3.7512, 3.7512, 0.0000]], "species": ["K", "Ta", "In"], "fractional_positions": [[0.0000, 0.0000, 0.0000], [0.2500, 0.2500, 0.2500], [0.7500, 0.7500, 0.7500]]}

=====

{"formula": "Pm4Ho8Sc", "functional": "PBE", "state": "relaxed", "formation_energy_kj_per_mol_fu": 224.2, "spacegroup": "R-3m", "lattice": [[3.7381, 2.1582, 8.6265], [-3.7381, 2.1582, 8.6265], [0.0000, -4.3164, 8.6265]], "species": ["Pm", "Pm", "Pm", "Pm", "Ho", "Ho", "Ho", "Ho", "Ho", "Ho", "Ho", "Ho", "Sc"], "fractional_positions": [[0.0000, 0.0000, 0.0000], [0.0000, 0.5000, 0.5000], [0.5000, 0.0000, 0.5000], [0.5000, 0.5000, 0.0000], [0.1822, 0.7449, 0.7449], [0.2210, 0.2210, 0.2210], [0.2551, 0.2551, 0.8178], [0.2551, 0.8178, 0.2551], [0.7449, 0.1822, 0.7449], [0.7449, 0.7449, 0.1822], [0.7790, 0.7790, 0.7790], [0.8178, 0.2551, 0.2551], [0.5000, 0.5000, 0.5000]]}

=====

{"formula": "Pm3Ge6PtRh2", "functional": "PBE", "state": "relaxed", "formation_energy_kj_per_mol_fu": -476.9, "spacegroup": "P-3m1", "lattice": [[5.6133, 0.0000, 0.0000], [-2.8067, 4.8613, 0.0000], [0.0000, 0.0000, 9.1373]], "species": ["Pm", "Pm", "Pm", "Ge", "Ge", "Ge", "Ge", "Ge", "Ge", "Pt", "Rh", "Rh"], "fractional_positions": [[0.0000, 0.0000, 0.0000], [0.3333, 0.6667, 0.5836], [0.6667, 0.3333, 0.4164], [0.1722, 0.3443, 0.2743], [0.1722, 0.8278, 0.2743], [0.3443, 0.1722, 0.7257], [0.6557, 0.8278, 0.2743], [0.8278, 0.1722, 0.7257], [0.8278, 0.6557, 0.7257], [0.0000, 0.0000, 0.5000], [0.3333, 0.6667, 0.0586], [0.6667, 0.3333, 0.9414]]}

=====

{"formula": "ZrMo2P", "functional": "PBE", "state": "relaxed", "formation_energy_kj_per_mol_fu": -73.6, "spacegroup": "I4/mmm", "lattice": [[-1.8493, 1.8493, 4.8659], [1.8493, -1.8493, 4.8659], [1.8493, 1.8493, -4.8659]], "species": ["Zr", "Mo", "Mo", "P"], "fractional_positions": [[0.0000, 0.0000, 0.0000], [0.2500, 0.7500, 0.5000], [0.7500, 0.2500, 0.5000], [0.5000, 0.5000, 0.0000]]}

=====

{"formula": "LiTm3In2", "functional": "PBE", "state": "relaxed", "e_above_lowest_polymorph_kj_per_mol_fu": 46, "formation_energy_kj_per_mol_fu": -136.3, "spacegroup": "Ibam", "lattice": [[-3.1561, 7.9999, 3.1624], [3.1561, -7.9999, 3.1624], [3.1561, 7.9999, -3.1624]], "species": ["Li", "Li", "Tm", "Tm", "Tm", "Tm", "Tm", "Tm", "In", "In", "In", "In"], "fractional_positions": [[0.2500, 0.2500, 0.0000], [0.7500, 0.7500, 0.0000], [0.1772, 0.2377, 0.4149], [0.2500, 0.7500, 0.5000], [0.3228, 0.7377, 0.0605], [0.6772, 0.2623, 0.9395], [0.7500, 0.2500, 0.5000], [0.8228, 0.7623, 0.5851], [0.1300, 0.7568, 0.8868], [0.3700, 0.2568, 0.6269], [0.6300, 0.7432, 0.3731], [0.8700, 0.2432, 0.1132]]}

=====

{"formula": "KOsPb2C", "functional": "PBE", "state": "relaxed", "formation_energy_kj_per_mol_fu": 1411.6, "spacegroup": "P4/mmm", "lattice": [[5.7810, 0.0000, 0.0000], [0.0000, 5.7810, 0.0000], [0.0000, 0.0000, 4.2794]], "species": ["K", "Os", "Pb", "Pb", "C"], "fractional_positions": [[0.0000, 0.0000, 0.0000], [0.5000, 0.5000, 0.5000], [0.0000, 0.5000, 0.0000], [0.5000, 0.0000, 0.0000], [0.0000, 0.0000, 0.5000]]}

=====

{"formula": "Tb4Pr2Er5", "functional": "PBE", "state": "relaxed", "e_above_lowest_polymorph_kj_per_mol_fu": 0, "formation_energy_kj_per_mol_fu": 22.6, "spacegroup": "C2/m", "lattice": [[11.6822, -1.7813, 0.0000], [11.6822, 1.7813, 0.0000], [-2.1569, 0.0000, 8.4572]], "species": ["Tb", "Tb", "Tb", "Tb", "Pr", "Pr", "Er", "Er", "Er", "Er", "Er"], "fractional_positions": [[0.0464, 0.0464, 0.3600], [0.3178, 0.3178, 0.5463], [0.6822, 0.6822, 0.4537], [0.9536, 0.9536, 0.6400], [0.4081, 0.4081, 0.2700], [0.5919, 0.5919, 0.7300], [0.1368, 0.1368, 0.0928], [0.2286, 0.2286, 0.8197], [0.5000, 0.5000, 0.0000], [0.7714, 0.7714, 0.1803], [0.8632, 0.8632, 0.9072]]}